The following is a DFT calculation (PBEsol) of crystalline LiY2Zn at its relaxed geometry.

a = 3.5845 Å, b = 3.5845 Å, c = 7.1790 Å
α = 90.00°, β = 90.00°, γ = 90.00°
Atoms (fractional coordinates):
Zn  0.0000  0.0000  0.5292
Y  0.5000  0.5000  0.2939
Y  0.0000  0.0000  0.9714
Li  0.5000  0.5000  0.7055

**Calculated formation energy**: -57 meV/atom
**N(E_F)**: 1.03 states/eV per atom